Record 1
NaU2CuO8 | Alexandria | PBE-GGA | optimized geometry; total energy = -7.9346 eV/atom; spin magnetization = 0.000 μB/atom
1.0
3.8206 -3.2917 0.0000
3.8206 3.2917 0.0000
-0.3310 0.0000 6.8365
Na U Cu O
1 2 1 8
direct
0.0000 0.0000 0.0000
0.4943 0.4943 0.7450
0.5057 0.5057 0.2550
0.0000 0.0000 0.5000
0.1822 0.7947 0.2950
0.2053 0.8178 0.7050
0.3323 0.3323 0.5090
0.3365 0.3365 0.0142
0.6635 0.6635 0.9858
0.6677 0.6677 0.4910
0.7947 0.1822 0.2950
0.8178 0.2053 0.7050

---

Record 2
NaUCu2O6 | Alexandria | PBE-GGA | optimized geometry; total energy = -6.6862 eV/atom; spin magnetization = 0.030 μB/atom
1.0
5.6358 -4.0433 0.0000
5.6358 4.0433 0.0000
-2.7820 0.0000 6.5842
Na U Cu O
2 2 4 12
direct
0.1372 0.8628 0.7500
0.8628 0.1372 0.2500
0.2814 0.7186 0.2500
0.7186 0.2814 0.7500
0.2399 0.3622 0.8675
0.3622 0.2399 0.3675
0.6378 0.7601 0.6325
0.7601 0.6378 0.1325
0.0351 0.2124 0.7577
0.2124 0.0351 0.2577
0.2778 0.6412 0.9528
0.2795 0.3843 0.1555
0.3588 0.7222 0.5472
0.3843 0.2795 0.6555
0.6157 0.7205 0.3445
0.6412 0.2778 0.4528
0.7205 0.6157 0.8445
0.7222 0.3588 0.0472
0.7876 0.9649 0.7423
0.9649 0.7876 0.2423

---

| no. | ΔE_f (raw) (eV per atom) | mass density (g/cm3) |
| --- | --- | --- |
| 1 | -2.297 | 6.67 |
| 2 | -1.631 | 5.36 |